Entry 1:
Density functional theory data (PBE) for a relaxed structure of Li2CuRhO4.

Cell: 2.859 5.727 5.395 Å, 117.64 90.00 90.00°
Site moments in Bohr magnetons follow the coordinates.
Element x y z (fractional)
O: 0.000 0.722 0.286  0.04
O: 0.000 0.278 0.714  0.04
O: 0.500 0.252 0.173  0.09
O: 0.500 0.748 0.827  0.09
Li: 0.000 0.500 0.500  0.01
Li: 0.500 0.000 0.500  0.00
Rh: 0.500 0.500 0.000  0.40
Cu: 0.000 0.000 0.000  0.26

Values from the calculation:
SG	P2/m
total magnetization	0.97	Bohr magnetons per cell
DFT total energy	-5.566	eV per atom
formation energy without anion corrections	-1.178	eV/atom

Entry 2:
Density functional theory data (PBE) for a relaxed structure of LiCuRhO3.

Cell: 3.054 6.202 7.302 Å, 90.00 90.00 104.25°
Site moments in Bohr magnetons follow the coordinates.
Element x y z (fractional)
O: 0.957 0.915 0.250  0.01
O: 0.632 0.264 0.486  0.16
O: 0.368 0.736 0.514  0.16
O: 0.632 0.264 0.014  0.16
O: 0.368 0.736 0.986  0.16
O: 0.043 0.085 0.750  0.01
Li: 0.000 0.000 0.500  0.01
Li: 0.000 0.000 0.000  0.01
Rh: 0.650 0.301 0.750  0.41
Rh: 0.350 0.699 0.250  0.41
Cu: 0.330 0.660 0.750  0.08
Cu: 0.670 0.340 0.250  0.08

Values from the calculation:
SG	Cmcm
total magnetization	1.76	Bohr magnetons per cell
DFT total energy	-5.445	eV per atom
formation energy without anion corrections	-0.739	eV/atom

Entry 3:
Density functional theory data (PBE) for a relaxed structure of LiCuRu2Rh2O8.

Cell: 6.144 6.144 6.144 Å, 125.27 119.31 86.16°
Element x y z (fractional)
O: 0.478 0.230 0.248
O: 0.988 0.768 0.220
O: 0.521 0.788 0.267
O: 0.521 0.255 0.733
O: 0.977 0.735 0.758
O: 0.977 0.219 0.242
O: 0.547 0.768 0.780
O: 0.982 0.230 0.752
Ru: 0.750 0.473 0.723
Ru: 0.750 0.027 0.277
Li: 0.380 0.380 0.000
Cu: 0.130 0.630 0.500
Rh: 0.247 0.999 0.247
Rh: 0.752 0.999 0.753

Values from the calculation:
SG	Imm2
total magnetization	0.00	Bohr magnetons per cell
DFT total energy	-6.539	eV per atom
formation energy without anion corrections	-0.901	eV/atom